w | First-principles (PBE) data for an optimized crystal structure of Cu2Hg2Bi, as listed in the Alexandria database.

a = 6.930 Å, b = 6.930 Å, c = 6.930 Å
α = 145.78°, β = 145.78°, γ = 49.18°
Atoms (fractional coordinates):
Cu 0.095 0.095 0.000
Cu 0.905 0.905 0.000
Hg 0.250 0.750 0.500
Hg 0.750 0.250 0.500
Bi 0.500 0.500 0.000

Results
N(E_F) in states/eV/f.u.: 2.42
SG: I4/mmm, No. 139

---

x | First-principles (PBE) data for an optimized crystal structure of Cu2Hg2Bi, as listed in the Alexandria database.

a = 9.180 Å, b = 9.180 Å, c = 9.180 Å
α = 158.00°, β = 158.00°, γ = 31.31°
Atoms (fractional coordinates):
Cu 0.250 0.750 0.500
Cu 0.750 0.250 0.500
Hg 0.130 0.130 0.000
Hg 0.870 0.870 0.000
Bi 0.500 0.500 0.000

Results
N(E_F) in states/eV/f.u.: 1.24
SG: I4/mmm, No. 139

---

Computed energies relative to the best structure, in meV per atom: w 82; x 0